The following is a DFT calculation (PBE) of SrNiHg after structural relaxation.

ΔH_f (0 K), meV per atom: -38

abc: 5.9435 5.9438 3.6292
angles: 72.22 72.23 35.55
With the nearest neighbours (Å) after each atom.
Fractional positions:
Hg 0.9611 0.9611 0.0389  4 Ni 2.75
Sr 0.6699 0.6699 0.3301  5 Hg 3.12-3.41, 5 Ni 3.23-3.34
Ni 0.3690 0.3690 0.6310  4 Hg 2.75


The following is a DFT calculation (PBE) of Tb3SmIr4 after structural relaxation.

ΔH_f (0 K), meV per atom: -739

abc: 3.3361 4.9777 9.9572
angles: 90.00 90.00 90.00
With the nearest neighbours (Å) after each atom.
Fractional positions:
Tb 0.5000 0.0000 0.7484  8 Ir 2.98-3.01, 2 Tb 3.34
Tb 0.5000 0.5000 0.5000  8 Ir 2.96-3.00
Tb 0.5000 0.0000 0.2516  8 Ir 2.98-3.01, 2 Tb 3.34
Ir 0.0000 0.5000 0.7460  6 Tb 2.96-3.00, 2 Sm 3.03
Ir 0.0000 0.0000 0.0000  4 Sm 3.00, 4 Tb 3.01, 2 Ir 3.34
Ir 0.0000 0.5000 0.2540  6 Tb 2.96-3.00, 2 Sm 3.03
Ir 0.0000 0.0000 0.5000  8 Tb 2.98-3.00, 2 Ir 3.34
Sm 0.5000 0.5000 0.0000  8 Ir 3.00-3.03, 2 Sm 3.34


The following is a DFT calculation (PBE) of Be3Al after structural relaxation.

ΔH_f (0 K), meV per atom: 277

abc: 4.0631 4.0631 4.1148
angles: 80.59 80.59 40.01
With the nearest neighbours (Å) after each atom.
Fractional positions:
Be 0.7582 0.7582 0.7147  5 Be 2.27-2.36, 3 Al 2.35-2.53
Be 0.2418 0.2418 0.2853  5 Be 2.27-2.36, 3 Al 2.35-2.53
Be 0.5000 0.5000 0.5000  6 Be 2.30-2.36, 4 Al 2.48
Al 0.0000 0.0000 0.0000  10 Be 2.35-2.53


The following is a DFT calculation (PBE) of Na2ZrWN4 after structural relaxation.

Electronic total energy, eV/atom: -7.944

abc: 5.6361 6.6641 6.8183
angles: 90.00 90.00 90.00
With the nearest neighbours (Å) after each atom.
Fractional positions:
Zr 0.9963 0.1473 0.5000  4 N 2.05-2.11
Zr 0.4963 0.8527 0.0000  4 N 2.05-2.11
W 0.5007 0.8401 0.5000  4 N 1.86-1.90
W 0.0007 0.1599 0.0000  4 N 1.86-1.90
N 0.9225 0.2989 0.2348  1 W 1.90, 1 Zr 2.11
N 0.9225 0.2989 0.7652  1 W 1.90, 1 Zr 2.11
N 0.3292 0.1266 0.0000  1 W 1.86, 1 Zr 2.05
N 0.8292 0.8734 0.5000  1 W 1.86, 1 Zr 2.05
N 0.4225 0.7011 0.7348  1 W 1.90, 1 Zr 2.11
N 0.3604 0.0961 0.5000  1 W 1.88, 1 Zr 2.08
N 0.8604 0.9039 0.0000  1 W 1.88, 1 Zr 2.08
N 0.4225 0.7011 0.2652  1 W 1.90, 1 Zr 2.11
Na 0.4843 0.3410 0.7494  4 N 2.39-2.49
Na 0.4843 0.3410 0.2506  4 N 2.39-2.49
Na 0.9843 0.6590 0.2494  4 N 2.39-2.49
Na 0.9843 0.6590 0.7506  4 N 2.39-2.49


The following is a DFT calculation (PBE) of Tb2TmSi2 after structural relaxation.

Electronic total energy, eV/atom: -5.642

abc: 4.2432 7.4398 7.4398
angles: 90.00 90.00 90.00
With the nearest neighbours (Å) after each atom.
Fractional positions:
Si 0.0000 0.6170 0.1170  1 Si 2.46
Si 0.0000 0.1170 0.3830  1 Si 2.46
Si 0.0000 0.3830 0.8830  1 Si 2.46
Si 0.0000 0.8830 0.6170  1 Si 2.46
Tb 0.5000 0.6761 0.8239  6 Si 3.04-3.07
Tb 0.5000 0.1761 0.6761  6 Si 3.04-3.07
Tb 0.5000 0.3239 0.1761  6 Si 3.04-3.07
Tb 0.5000 0.8239 0.3239  6 Si 3.04-3.07
Tm 0.0000 0.0000 0.0000  4 Si 2.98
Tm 0.0000 0.5000 0.5000  4 Si 2.98


The following is a DFT calculation (PBE) of Na3NpV2S6 after structural relaxation.

Electronic total energy, eV/atom: -6.159

abc: 6.4095 6.4095 6.9871
angles: 98.87 98.87 120.01
With the nearest neighbours (Å) after each atom.
Fractional positions:
S 0.0707 0.4278 0.2110  2 V 2.49-2.50, 1 Np 2.68, 1 Na 2.79
S 0.9293 0.5722 0.7890  2 V 2.49-2.50, 1 Np 2.68, 1 Na 2.79
S 0.2862 0.2862 0.7886  2 V 2.50, 1 Np 2.69, 1 Na 2.77
S 0.5722 0.9293 0.7890  2 V 2.49-2.50, 1 Np 2.68, 1 Na 2.79
S 0.7138 0.7138 0.2114  2 V 2.50, 1 Np 2.69, 1 Na 2.77
S 0.4278 0.0707 0.2110  2 V 2.49-2.50, 1 Np 2.68, 1 Na 2.79
Na 0.5000 0.5000 0.5000  6 S 2.77-2.93
Na 0.1628 0.8372 0.5000  6 S 2.79-2.94
Na 0.8372 0.1628 0.5000  6 S 2.79-2.94
V 0.3329 0.6671 0.0000  6 S 2.49-2.50
V 0.6671 0.3329 0.0000  6 S 2.49-2.50
Np 0.0000 0.0000 0.0000  6 S 2.68-2.69


The following is a DFT calculation (PBE) of AsP2Ru after structural relaxation.

ΔH_f (0 K), meV per atom: 289

abc: 5.8189 5.8189 5.8189
angles: 151.34 135.92 53.43
With the nearest neighbours (Å) after each atom.
Fractional positions:
P 0.9414 0.9414 0.0000  2 Ru 2.46
P 0.5586 0.5586 0.0000  2 Ru 2.46
Ru 0.7500 0.2500 0.5000  4 P 2.46, 4 As 2.62
As 0.2500 0.7500 0.5000  4 Ru 2.62, 2 As 2.88


The following is a DFT calculation (PBE) of Hf2TeIrRu after structural relaxation.

Electronic total energy, eV/atom: -7.805

abc: 4.9958 4.8040 4.9958
angles: 90.00 90.00 90.00
With the nearest neighbours (Å) after each atom.
Fractional positions:
Hf 0.0000 0.0000 0.5000  2 Ir 2.50
Hf 0.5000 0.0000 0.0000  2 Ir 2.50
Ir 0.0000 0.0000 0.0000  2 Ru 2.40, 4 Hf 2.50
Ru 0.0000 0.5000 0.0000  2 Ir 2.40
Te 0.5000 0.5000 0.5000  8 Hf 3.47, 4 Ru 3.53


The following is a DFT calculation (PBE) of LiIrRu after structural relaxation.

ΔH_f (0 K), meV per atom: 27

abc: 4.3807 4.3807 4.9508
angles: 90.00 90.00 120.00
With the nearest neighbours (Å) after each atom.
Fractional positions:
Li 0.6667 0.3333 0.0000  2 Ir 2.48, 3 Li 2.53
Li 0.3333 0.6667 0.0000  2 Ir 2.48, 3 Li 2.53
Ir 0.3333 0.6667 0.5000  2 Li 2.48, 3 Ir 2.53
Ir 0.6667 0.3333 0.5000  2 Li 2.48, 3 Ir 2.53
Ru 0.0000 0.0000 0.2473  2 Ru 2.45-2.50
Ru 0.0000 0.0000 0.7527  2 Ru 2.45-2.50


The following is a DFT calculation (PBE) of Ca2YTiFe after structural relaxation.

ΔH_f (0 K), meV per atom: 688

abc: 5.8008 4.1417 5.8008
angles: 90.00 90.00 90.00
With the nearest neighbours (Å) after each atom.
Fractional positions:
Ca 0.0000 0.0000 0.5000  2 Ti 2.90
Ca 0.5000 0.0000 0.0000  2 Ti 2.90
Ti 0.0000 0.0000 0.0000  2 Fe 2.07
Fe 0.0000 0.5000 0.0000  2 Ti 2.07
Y 0.5000 0.5000 0.5000  8 Ca 3.56


The following is a DFT calculation (PBE) of ThZn2Au2 after structural relaxation.

ΔH_f (0 K), meV per atom: -447

abc: 5.1106 5.1106 6.2751
angles: 127.08 127.08 78.64
With the nearest neighbours (Å) after each atom.
Fractional positions:
Th 0.0000 0.0000 0.5000  8 Au 3.11-3.42, 8 Zn 3.14-3.46
Zn 0.5098 0.5098 0.7026  1 Zn 2.42, 2 Au 2.69
Zn 0.4902 0.4902 0.2974  1 Zn 2.42, 2 Au 2.69
Au 0.7890 0.2110 0.0000  2 Zn 2.69, 1 Au 2.73
Au 0.2110 0.7890 0.0000  2 Zn 2.69, 1 Au 2.73


The following is a DFT calculation (PBE) of Tb3Pr2Nd6In after structural relaxation.

ΔH_f (0 K), meV per atom: -54

abc: 6.2493 6.2493 11.9790
angles: 95.01 95.01 120.10
With the nearest neighbours (Å) after each atom.
Fractional positions:
Pr 0.6664 0.3336 0.0000  3 In 3.60-3.61, 3 Pr 3.60-3.61, 6 Nd 3.63-3.64
Pr 0.3336 0.6664 0.0000  3 In 3.60-3.61, 3 Pr 3.60-3.61, 6 Nd 3.63-3.64
Nd 0.5917 0.9168 0.7493  6 Nd 3.51-3.66, 1 In 3.59, 3 Tb 3.59-3.63, 2 Pr 3.63
Nd 0.9168 0.5917 0.7493  6 Nd 3.51-3.66, 1 In 3.59, 3 Tb 3.59-3.63, 2 Pr 3.63
Nd 0.7586 0.7586 0.2516  6 Nd 3.51-3.66, 3 Tb 3.58-3.62, 1 In 3.60, 2 Pr 3.64
Nd 0.0832 0.4083 0.2507  6 Nd 3.51-3.66, 1 In 3.59, 3 Tb 3.59-3.63, 2 Pr 3.63
Nd 0.2414 0.2414 0.7484  6 Nd 3.51-3.66, 3 Tb 3.58-3.62, 1 In 3.60, 2 Pr 3.64
Nd 0.4083 0.0832 0.2507  6 Nd 3.51-3.66, 1 In 3.59, 3 Tb 3.59-3.63, 2 Pr 3.63
Tb 0.5000 0.5000 0.5000  6 Nd 3.59-3.62, 6 Tb 3.60-3.61
Tb 0.8325 0.1675 0.5000  6 Nd 3.58-3.63, 6 Tb 3.60-3.63
Tb 0.1675 0.8325 0.5000  6 Nd 3.58-3.63, 6 Tb 3.60-3.63
In 0.0000 0.0000 0.0000  6 Nd 3.59-3.60, 6 Pr 3.60-3.61


The following is a DFT calculation (PBE) of ScGaC3 after structural relaxation.

ΔH_f (0 K), meV per atom: 1828

abc: 3.9559 3.9559 3.9559
angles: 90.00 90.00 90.00
With the nearest neighbours (Å) after each atom.
Fractional positions:
C 0.0000 0.0000 0.5000  2 Ga 1.98
C 0.0000 0.5000 0.0000  2 Ga 1.98
C 0.5000 0.0000 0.0000  2 Ga 1.98
Sc 0.5000 0.5000 0.5000  12 C 2.80
Ga 0.0000 0.0000 0.0000  6 C 1.98


The following is a DFT calculation (PBE) of Li2PPd2 after structural relaxation.

ΔH_f (0 K), meV per atom: -552

abc: 5.0191 4.8201 7.1858
angles: 111.98 90.00 121.38
With the nearest neighbours (Å) after each atom.
Fractional positions:
P 0.6685 0.0000 0.7500  6 Pd 2.49-2.58, 4 Li 2.72-2.77
P 0.3315 0.0000 0.2500  6 Pd 2.49-2.58, 4 Li 2.72-2.77
Pd 0.1961 0.6281 0.8659  4 Li 2.46-2.72, 3 P 2.49-2.58
Pd 0.4319 0.6281 0.3659  4 Li 2.46-2.72, 3 P 2.49-2.58
Pd 0.8039 0.3719 0.1341  4 Li 2.46-2.72, 3 P 2.49-2.58
Pd 0.5681 0.3719 0.6341  4 Li 2.46-2.72, 3 P 2.49-2.58
Li 0.9566 0.1976 0.4517  4 Pd 2.46-2.72, 3 Li 2.48-2.63, 1 P 2.72
Li 0.2410 0.1976 0.9517  4 Pd 2.46-2.72, 3 Li 2.48-2.63, 1 P 2.72
Li 0.7590 0.8024 0.0483  4 Pd 2.46-2.72, 3 Li 2.48-2.63, 1 P 2.72
Li 0.0434 0.8024 0.5483  4 Pd 2.46-2.72, 3 Li 2.48-2.63, 1 P 2.72


The following is a DFT calculation (PBE) of Hf2NbTl after structural relaxation.

ΔH_f (0 K), meV per atom: 97

abc: 4.2640 4.2640 9.3135
angles: 90.00 90.00 90.00
With the nearest neighbours (Å) after each atom.
Fractional positions:
Tl 0.0000 0.0000 0.5000  8 Hf 3.02-3.16, 4 Nb 3.16
Tl 0.5000 0.5000 0.0000  8 Hf 3.02-3.16, 4 Nb 3.16
Nb 0.0000 0.5000 0.7500  8 Hf 3.02-3.16, 4 Tl 3.16
Nb 0.5000 0.0000 0.2500  8 Hf 3.02-3.16, 4 Tl 3.16
Hf 0.5000 0.5000 0.5000  4 Tl 3.02, 4 Hf 3.16, 4 Nb 3.16
Hf 0.0000 0.5000 0.2500  4 Nb 3.02, 4 Tl 3.16, 4 Hf 3.16
Hf 0.5000 0.0000 0.7500  4 Nb 3.02, 4 Hf 3.16, 4 Tl 3.16
Hf 0.0000 0.0000 0.0000  4 Tl 3.02, 4 Hf 3.16, 4 Nb 3.16


The following is a DFT calculation (PBE) of Li2MgSb2 after structural relaxation.

Electronic total energy, eV/atom: -3.053

abc: 8.0138 8.0138 3.3245
angles: 90.00 90.00 90.00
With the nearest neighbours (Å) after each atom.
Fractional positions:
Mg 0.5000 0.5000 0.0000  4 Li 3.22, 2 Mg 3.32, 8 Sb 3.37
Mg 0.0000 0.0000 0.0000  4 Li 3.22, 2 Mg 3.32, 8 Sb 3.37
Sb 0.6851 0.8149 0.5000  6 Li 2.81-2.98
Sb 0.8149 0.3149 0.5000  6 Li 2.81-2.98
Sb 0.1851 0.6851 0.5000  6 Li 2.81-2.98
Sb 0.3149 0.1851 0.5000  6 Li 2.81-2.98
Li 0.1149 0.3851 0.0000  1 Li 2.61, 2 Sb 2.81
Li 0.8851 0.6149 0.0000  1 Li 2.61, 2 Sb 2.81
Li 0.6149 0.1149 0.0000  1 Li 2.61, 2 Sb 2.81
Li 0.3851 0.8851 0.0000  1 Li 2.61, 2 Sb 2.81


The following is a DFT calculation (PBE) of AcMgZnCd6 after structural relaxation.

ΔH_f (0 K), meV per atom: -27

abc: 9.9030 7.6068 8.7818
angles: 115.66 124.32 90.00
With the nearest neighbours (Å) after each atom.
Fractional positions:
Cd 0.3680 0.5689 0.2498  1 Zn 2.79, 2 Cd 2.95-3.09, 1 Mg 3.01
Cd 0.6722 0.9222 0.3444  2 Zn 2.66, 2 Mg 2.85
Cd 0.6320 0.8191 0.7502  1 Zn 2.79, 2 Cd 2.95-3.09, 1 Mg 3.01
Cd 0.8818 0.1809 0.2498  1 Zn 2.79, 2 Cd 2.95-3.09, 1 Mg 3.01
Cd 0.3278 0.0778 0.6556  2 Zn 2.66, 2 Mg 2.85
Cd 0.3680 0.1809 0.2498  1 Zn 2.79, 2 Cd 2.95-3.09, 1 Mg 3.01
Cd 0.8818 0.5689 0.2498  1 Zn 2.79, 2 Cd 2.95-3.09, 1 Mg 3.01
Cd 0.7384 0.4884 0.4767  8 Cd 3.26-3.29, 2 Mg 3.50
Cd 0.1182 0.8191 0.7502  1 Zn 2.79, 2 Cd 2.95-3.09, 1 Mg 3.01
Cd 0.1182 0.4311 0.7502  1 Zn 2.79, 2 Cd 2.95-3.09, 1 Mg 3.01
Cd 0.2616 0.5116 0.5233  8 Cd 3.26-3.29, 2 Mg 3.50
Cd 0.6320 0.4311 0.7502  1 Zn 2.79, 2 Cd 2.95-3.09, 1 Mg 3.01
Ac 0.9515 0.2015 0.9030  10 Cd 3.45-3.83, 2 Zn 3.51
Ac 0.0485 0.7985 0.0970  10 Cd 3.45-3.83, 2 Zn 3.51
Mg 0.5000 0.5000 0.0000  6 Cd 2.85-3.01
Mg 0.5000 0.0000 0.0000  6 Cd 2.85-3.01
Zn 0.5000 0.0000 0.5000  6 Cd 2.66-2.79
Zn 0.0000 0.0000 0.5000  6 Cd 2.66-2.79


The following is a DFT calculation (PBE) of BaMnAl2 after structural relaxation.

ΔH_f (0 K), meV per atom: 50

abc: 3.2404 3.4540 8.6504
angles: 66.52 90.00 90.00
With the nearest neighbours (Å) after each atom.
Fractional positions:
Al 0.0000 0.0825 0.9175  1 Al 2.66, 4 Mn 2.71-2.72
Al 0.0000 0.4175 0.5825  1 Al 2.66, 4 Mn 2.71-2.72
Ba 0.5000 0.2500 0.2500  4 Ba 3.24-3.45, 8 Al 3.54-3.55
Mn 0.5000 0.7500 0.7500  8 Al 2.71-2.72


The following is a DFT calculation (PBE) of BaTcMo2 after structural relaxation.

ΔH_f (0 K), meV per atom: 849

abc: 2.9443 2.9443 9.8496
angles: 90.00 90.00 111.01
With the nearest neighbours (Å) after each atom.
Fractional positions:
Mo 0.5000 0.5000 0.2537  2 Tc 2.58, 2 Mo 2.62
Mo 0.0000 0.0000 0.0484  2 Mo 2.62
Ba 0.5000 0.5000 0.7436  4 Ba 2.94
Tc 0.0000 0.0000 0.4542  2 Mo 2.58


The following is a DFT calculation (PBE) of AlTl2Cu after structural relaxation.

ΔH_f (0 K), meV per atom: 368

abc: 7.0441 5.2431 3.3549
angles: 87.56 65.62 122.66
With the nearest neighbours (Å) after each atom.
Fractional positions:
Al 0.0000 0.5000 0.5000  8 Tl 3.05-3.17, 2 Cu 3.22, 2 Al 3.35
Tl 0.0000 0.0000 0.0000  4 Al 3.05-3.17, 4 Cu 3.05-3.17, 4 Tl 3.22-3.35
Tl 0.5000 0.0000 0.5000  4 Cu 3.05-3.17, 4 Al 3.05-3.17, 4 Tl 3.22-3.35
Cu 0.5000 0.5000 0.0000  8 Tl 3.05-3.17, 2 Al 3.22, 2 Cu 3.35


Total magnetic moment values (in μB per formula unit) by entry order: 0.00 0.00 0.00 0.00 0.00 8.00 0.00 0.00 0.00 0.00 0.00 0.00 0.00 0.00 0.00 0.00 0.00 3.25 0.00 0.00.